## Tb2TiGa3Ir4 (GGA-PBE)

Data for an optimized crystal structure of Tb2TiGa3Ir4.

abc: 4.1386 4.1386 10.7994
angles: 90.00 90.00 90.00
With the nearest neighbours (Å) after each atom.
Fractional positions:
Tb (0.0000, 0.5000, 0.2311)  4 Ga 3.13, 8 Ir 3.24
Tb (0.5000, 0.0000, 0.7689)  4 Ga 3.13, 8 Ir 3.24
Ti (0.0000, 0.0000, 0.5000)  4 Ir 2.57
Ga (0.0000, 0.5000, 0.8712)  5 Ir 2.49
Ga (0.5000, 0.0000, 0.1288)  5 Ir 2.49
Ga (0.5000, 0.5000, 0.5000)  4 Ir 2.57
Ir (0.0000, 0.0000, 0.0000)  4 Ga 2.49
Ir (0.0000, 0.5000, 0.6404)  3 Ga 2.49-2.57, 2 Ti 2.57
Ir (0.5000, 0.0000, 0.3596)  3 Ga 2.49-2.57, 2 Ti 2.57
Ir (0.5000, 0.5000, 0.0000)  4 Ga 2.49

Computed properties:
N(E_F): 5.587 states/eV/f.u.
Total DFT energy (no corrections): -69.15 eV per cell
Size of the total moment: 0.0 Bohr magnetons per cell
Energy of formation: -0.747 eV per atom
Crystal system: tetragonal
SG: P-4m2, No. 115